## Sm2ErTm3Sb6 (PBE)

Data for an optimized crystal structure of Sm2ErTm3Sb6.

formation energy from raw total energies	-1.105	eV/atom
SG	C2/m, No. 12
ρ	7.92	Mg/m³
total DFT energy (no corrections)	-65.41	eV for the cell shown

a = 4.386 Å, b = 8.767 Å, c = 9.801 Å
α = 102.85°, β = 102.93°, γ = 90.00°
Positions (direct):
Sm (0.834, 0.667, 0.668)
Sm (0.166, 0.333, 0.332)
Er (0.500, 0.000, 0.000)
Tm (0.500, 0.500, 0.000)
Tm (0.832, 0.166, 0.664)
Tm (0.168, 0.834, 0.336)
Sb (0.334, 0.923, 0.667)
Sb (0.665, 0.588, 0.330)
Sb (0.666, 0.077, 0.333)
Sb (0.997, 0.249, 0.995)
Sb (0.003, 0.751, 0.005)
Sb (0.335, 0.412, 0.670)